Cs4KCl4 | GGA-PBE | relaxed

Cell lengths 9.287, 9.691, 9.691 Å; angles 90.00, 90.00, 90.00 degrees
Fractional positions:
Cs 0.148 0.777 0.500
Cl 0.242 0.500 0.724
K 0.500 0.500 0.500
Cs 0.352 0.723 0.000
Cl 0.758 0.724 0.500
Cl 0.258 0.000 0.776
K 0.000 0.000 0.000
Cs 0.648 0.000 0.723
Cl 0.258 0.000 0.224
Cs 0.648 0.000 0.277
Cl 0.742 0.224 0.000
Cl 0.742 0.776 0.000
Cl 0.242 0.500 0.276
Cs 0.352 0.277 0.000
Cl 0.758 0.276 0.500
Cs 0.852 0.500 0.223
Cs 0.852 0.500 0.777
Cs 0.148 0.223 0.500

Output
Formation energy without anion corrections ... -1638.7 meV/atom
Symmetry ... No. 137
V ... 48.46 A^3/atom